Entry 1:
A plane-wave DFT calculation with PBE was carried out for an optimized crystal structure of EuInSb2.

Output
As for the size of the total moment: 22.92 Bohr magnetons per cell. The value obtained for the formation energy (no corrections) is 0.0778 eV per atom. The value obtained for the uncorrected energy is -5.237 eV/atom.

a = 3.9028 Å, b = 3.9028 Å, c = 31.1110 Å
α = 90.00°, β = 90.00°, γ = 120.00°
Positions (direct):
Eu 0.0000 0.0000 0.0000
Eu 0.3333 0.6667 0.6667
Eu 0.6667 0.3333 0.3333
In 0.0000 0.0000 0.5000
In 0.3333 0.6667 0.1667
In 0.6667 0.3333 0.8333
Sb 0.0000 0.0000 0.1030
Sb 0.0000 0.0000 0.8970
Sb 0.3333 0.6667 0.5637
Sb 0.3333 0.6667 0.7696
Sb 0.6667 0.3333 0.2304
Sb 0.6667 0.3333 0.4363

***

Entry 2:
A plane-wave DFT calculation with PBE was carried out for an optimized crystal structure of Eu2InSb.

Output
As for the size of the total moment: 57.09 Bohr magnetons per cell. The value obtained for the formation energy (no corrections) is -0.6397 eV per atom. The value obtained for the uncorrected energy is -7.492 eV/atom.

a = 7.8718 Å, b = 7.8718 Å, c = 7.8718 Å
α = 90.00°, β = 90.00°, γ = 90.00°
Positions (direct):
Eu 0.2500 0.2500 0.2500
Eu 0.2500 0.2500 0.7500
Eu 0.2500 0.7500 0.2500
Eu 0.2500 0.7500 0.7500
Eu 0.7500 0.2500 0.2500
Eu 0.7500 0.2500 0.7500
Eu 0.7500 0.7500 0.2500
Eu 0.7500 0.7500 0.7500
In 0.0000 0.0000 0.0000
In 0.0000 0.5000 0.5000
In 0.5000 0.0000 0.5000
In 0.5000 0.5000 0.0000
Sb 0.0000 0.0000 0.5000
Sb 0.0000 0.5000 0.0000
Sb 0.5000 0.0000 0.0000
Sb 0.5000 0.5000 0.5000

***

Entry 3:
A plane-wave DFT calculation with PBE was carried out for an optimized crystal structure of EuTlInSb.

Output
As for the size of the total moment: 28.56 Bohr magnetons per cell. The value obtained for the formation energy (no corrections) is -0.3152 eV per atom. The value obtained for the uncorrected energy is -5.191 eV/atom.

a = 7.8117 Å, b = 7.8117 Å, c = 7.8117 Å
α = 90.00°, β = 90.00°, γ = 90.00°
Positions (direct):
Eu 0.0000 0.0000 0.0000
Eu 0.0000 0.5000 0.5000
Eu 0.5000 0.0000 0.5000
Eu 0.5000 0.5000 0.0000
Tl 0.2500 0.2500 0.2500
Tl 0.2500 0.7500 0.7500
Tl 0.7500 0.2500 0.7500
Tl 0.7500 0.7500 0.2500
In 0.0000 0.0000 0.5000
In 0.0000 0.5000 0.0000
In 0.5000 0.0000 0.0000
In 0.5000 0.5000 0.5000
Sb 0.2500 0.2500 0.7500
Sb 0.2500 0.7500 0.2500
Sb 0.7500 0.2500 0.2500
Sb 0.7500 0.7500 0.7500